(1)
# ErPbSe2 (GGA-PBE, relaxed)
data_ErPbSe2
_space_group_name_H-M_alt 'P 1'
_space_group_IT_number 1
_cell_length_a 4.211
_cell_length_b 4.211
_cell_length_c 5.977
_cell_angle_alpha 90.00
_cell_angle_beta 90.00
_cell_angle_gamma 90.00
loop_
_space_group_symop_operation_xyz
'x,y,z'
loop_
_atom_site_label
_atom_site_type_symbol
_atom_site_fract_x
_atom_site_fract_y
_atom_site_fract_z
_atom_site_occupancy
Er1 Er 0.500 0.500 0.500 1
Pb1 Pb 0.000 0.000 0.000 1
Se1 Se 0.000 0.000 0.500 1
Se2 Se 0.500 0.500 0.000 1
# E_tot: -4.8092 eV per atom



(2)
# Er4SiPb2 (GGA-PBE, relaxed)
data_Er4SiPb2
_space_group_name_H-M_alt 'P 1'
_space_group_IT_number 1
_cell_length_a 4.987
_cell_length_b 4.987
_cell_length_c 11.697
_cell_angle_alpha 90.04
_cell_angle_beta 90.04
_cell_angle_gamma 60.05
loop_
_space_group_symop_operation_xyz
'x,y,z'
loop_
_atom_site_label
_atom_site_type_symbol
_atom_site_fract_x
_atom_site_fract_y
_atom_site_fract_z
_atom_site_occupancy
Si1 Si 0.000 0.000 0.734 1
Er1 Er 0.000 0.000 0.502 1
Er2 Er 0.667 0.667 0.755 1
Er3 Er 0.000 0.000 0.974 1
Er4 Er 0.667 0.667 0.279 1
Pb1 Pb 0.333 0.333 0.395 1
Pb2 Pb 0.667 0.667 0.029 1
# E_tot: -4.5214 eV per atom



(3)
# SmErPb (GGA-PBE, relaxed)
data_SmErPb
_space_group_name_H-M_alt 'P 1'
_space_group_IT_number 1
_cell_length_a 5.199
_cell_length_b 5.199
_cell_length_c 5.199
_cell_angle_alpha 60.00
_cell_angle_beta 60.00
_cell_angle_gamma 60.00
loop_
_space_group_symop_operation_xyz
'x,y,z'
loop_
_atom_site_label
_atom_site_type_symbol
_atom_site_fract_x
_atom_site_fract_y
_atom_site_fract_z
_atom_site_occupancy
Sm1 Sm 0.750 0.750 0.750 1
Pb1 Pb 0.000 0.000 0.000 1
Er1 Er 0.250 0.250 0.250 1
# E_tot: -4.5282 eV per atom
# Excess energy over the best structure of this formula in the dataset: 0 meV/atom



- What is the E_tot in the first record?
  -4.8092 eV per atom